## a
VASP calculation (PBEsol) on a relaxed ErP5O14 crystal.

- D(E_F): 0.00 states/eV/cell
- Magnetization: 0.000 μB per atom

abc: 9.080 9.080 12.393
angles: 88.97 88.97 89.49
Atoms (fractional coordinates):
Er: 0.519 0.481 0.250
Er: 0.481 0.519 0.750
Er: 0.967 0.033 0.250
Er: 0.033 0.967 0.750
P: 0.387 0.323 0.000
P: 0.677 0.613 0.500
P: 0.613 0.677 0.000
P: 0.323 0.387 0.500
P: 0.317 0.049 0.110
P: 0.951 0.683 0.390
P: 0.683 0.951 0.890
P: 0.049 0.317 0.610
P: 0.172 0.875 0.466
P: 0.125 0.828 0.034
P: 0.828 0.125 0.534
P: 0.875 0.172 0.966
P: 0.479 0.818 0.395
P: 0.182 0.521 0.105
P: 0.521 0.182 0.605
P: 0.818 0.479 0.895
P: 0.572 0.079 0.260
P: 0.921 0.428 0.240
P: 0.428 0.921 0.740
P: 0.079 0.572 0.760
O: 0.152 0.965 0.366
O: 0.035 0.848 0.134
O: 0.848 0.035 0.634
O: 0.965 0.152 0.866
O: 0.876 0.076 0.426
O: 0.924 0.124 0.074
O: 0.124 0.924 0.574
O: 0.076 0.876 0.926
O: 0.486 0.359 0.090
O: 0.641 0.514 0.410
O: 0.514 0.641 0.910
O: 0.359 0.486 0.590
O: 0.572 0.647 0.114
O: 0.353 0.428 0.386
O: 0.428 0.353 0.886
O: 0.647 0.572 0.614
O: 0.350 0.149 0.007
O: 0.851 0.650 0.493
O: 0.650 0.851 0.993
O: 0.289 0.896 0.056
O: 0.149 0.350 0.507
O: 0.894 0.801 0.320
O: 0.801 0.894 0.820
O: 0.106 0.199 0.680
O: 0.234 0.539 0.785
O: 0.461 0.766 0.715
O: 0.766 0.461 0.215
O: 0.539 0.234 0.285
O: 0.026 0.723 0.732
O: 0.277 0.974 0.768
O: 0.974 0.277 0.268
O: 0.723 0.026 0.232
O: 0.020 0.470 0.664
O: 0.530 0.980 0.836
O: 0.980 0.530 0.336
O: 0.470 0.020 0.164
O: 0.984 0.506 0.863
O: 0.494 0.016 0.637
O: 0.016 0.494 0.137
O: 0.506 0.984 0.363
O: 0.777 0.609 0.974
O: 0.391 0.223 0.526
O: 0.223 0.391 0.026
O: 0.609 0.777 0.474
O: 0.718 0.462 0.805
O: 0.538 0.282 0.695
O: 0.282 0.538 0.195
O: 0.462 0.718 0.305
O: 0.827 0.343 0.976
O: 0.657 0.173 0.524
O: 0.173 0.657 0.024
O: 0.343 0.827 0.476
O: 0.896 0.289 0.556
O: 0.711 0.104 0.944
O: 0.104 0.711 0.444
O: 0.199 0.106 0.180

## b
VASP calculation (PBEsol) on a relaxed ErP5O14 crystal.

- D(E_F): 0.00 states/eV/cell
- Magnetization: 0.000 μB per atom

abc: 8.708 8.933 12.666
angles: 90.00 90.00 90.00
Atoms (fractional coordinates):
Er: 0.020 0.944 0.250
Er: 0.480 0.444 0.750
Er: 0.980 0.056 0.750
Er: 0.520 0.556 0.250
O: 0.459 0.828 0.250
O: 0.041 0.328 0.750
O: 0.541 0.172 0.750
O: 0.959 0.672 0.250
O: 0.269 0.057 0.250
O: 0.231 0.557 0.750
O: 0.731 0.943 0.750
O: 0.769 0.443 0.250
O: 0.525 0.062 0.153
O: 0.975 0.562 0.847
O: 0.475 0.938 0.653
O: 0.025 0.438 0.347
O: 0.475 0.938 0.847
O: 0.025 0.438 0.153
O: 0.525 0.062 0.347
O: 0.975 0.562 0.653
O: 0.494 0.348 0.137
O: 0.006 0.848 0.863
O: 0.506 0.652 0.637
O: 0.994 0.152 0.363
O: 0.506 0.652 0.863
O: 0.994 0.152 0.137
O: 0.494 0.348 0.363
O: 0.006 0.848 0.637
O: 0.333 0.156 0.030
O: 0.167 0.656 0.970
O: 0.667 0.844 0.530
O: 0.833 0.344 0.470
O: 0.667 0.844 0.970
O: 0.833 0.344 0.030
O: 0.333 0.156 0.470
O: 0.167 0.656 0.530
O: 0.112 0.321 0.992
O: 0.388 0.821 0.008
O: 0.888 0.679 0.492
O: 0.612 0.179 0.508
O: 0.888 0.679 0.008
O: 0.612 0.179 0.992
O: 0.112 0.321 0.508
O: 0.388 0.821 0.492
O: 0.344 0.339 0.880
O: 0.156 0.839 0.120
O: 0.656 0.661 0.380
O: 0.844 0.161 0.620
O: 0.656 0.661 0.120
O: 0.844 0.161 0.880
O: 0.344 0.339 0.620
O: 0.156 0.839 0.380
O: 0.172 0.101 0.870
O: 0.328 0.601 0.130
O: 0.828 0.899 0.370
O: 0.672 0.399 0.630
O: 0.828 0.899 0.130
O: 0.672 0.399 0.870
O: 0.172 0.101 0.630
O: 0.328 0.601 0.370
P: 0.426 0.991 0.250
P: 0.074 0.491 0.750
P: 0.574 0.009 0.750
P: 0.926 0.509 0.250
P: 0.490 0.203 0.082
P: 0.010 0.703 0.918
P: 0.510 0.797 0.582
P: 0.990 0.297 0.418
P: 0.510 0.797 0.918
P: 0.990 0.297 0.082
P: 0.490 0.203 0.418
P: 0.010 0.703 0.582
P: 0.242 0.226 0.929
P: 0.258 0.726 0.071
P: 0.758 0.774 0.429
P: 0.742 0.274 0.571
P: 0.758 0.774 0.071
P: 0.742 0.274 0.929
P: 0.242 0.226 0.571
P: 0.258 0.726 0.429

Calculated relative energies: a 0; b 7, given in meV per atom

## a
VASP calculation (PBEsol) on a relaxed Er2P4O13 crystal.

- D(E_F): 0.00 states/eV/cell
- Magnetization: 0.000 μB per atom

abc: 8.975 9.254 13.745
angles: 90.00 107.78 90.00
Atoms (fractional coordinates):
Er: 0.025 0.999 0.717
Er: 0.025 0.501 0.217
Er: 0.440 0.994 0.724
Er: 0.560 0.494 0.776
Er: 0.440 0.506 0.224
Er: 0.560 0.006 0.276
Er: 0.975 0.499 0.783
Er: 0.975 0.001 0.283
P: 0.174 0.771 0.940
P: 0.283 0.261 0.841
P: 0.222 0.699 0.661
P: 0.174 0.729 0.440
P: 0.514 0.761 0.945
P: 0.283 0.239 0.341
P: 0.222 0.801 0.161
P: 0.486 0.261 0.555
P: 0.514 0.739 0.445
P: 0.778 0.199 0.839
P: 0.717 0.761 0.659
P: 0.486 0.239 0.055
P: 0.826 0.271 0.560
P: 0.778 0.301 0.339
P: 0.717 0.739 0.159
P: 0.826 0.229 0.060
O: 0.078 0.636 0.917
O: 0.137 0.888 0.861
O: 0.131 0.322 0.847
O: 0.121 0.616 0.711
O: 0.078 0.864 0.417
O: 0.157 0.657 0.541
O: 0.355 0.724 0.971
O: 0.253 0.132 0.765
O: 0.207 0.866 0.667
O: 0.137 0.612 0.361
O: 0.373 0.184 0.948
O: 0.131 0.178 0.347
O: 0.121 0.884 0.211
O: 0.390 0.373 0.819
O: 0.487 0.887 0.873
O: 0.393 0.658 0.698
O: 0.157 0.843 0.041
O: 0.355 0.776 0.471
O: 0.253 0.368 0.265
O: 0.207 0.634 0.167
O: 0.423 0.124 0.586
O: 0.373 0.316 0.448
O: 0.577 0.624 0.914
O: 0.607 0.158 0.802
O: 0.513 0.387 0.627
O: 0.390 0.127 0.319
O: 0.610 0.873 0.681
O: 0.487 0.613 0.373
O: 0.393 0.842 0.198
O: 0.423 0.376 0.086
O: 0.627 0.684 0.552
O: 0.577 0.876 0.414
O: 0.793 0.366 0.833
O: 0.747 0.632 0.735
O: 0.645 0.224 0.529
O: 0.843 0.157 0.959
O: 0.607 0.342 0.302
O: 0.513 0.113 0.127
O: 0.610 0.627 0.181
O: 0.879 0.116 0.789
O: 0.869 0.822 0.653
O: 0.627 0.816 0.052
O: 0.863 0.388 0.639
O: 0.793 0.134 0.333
O: 0.747 0.868 0.235
O: 0.645 0.276 0.029
O: 0.843 0.343 0.459
O: 0.922 0.136 0.583
O: 0.879 0.384 0.289
O: 0.869 0.678 0.153
O: 0.863 0.112 0.139
O: 0.922 0.364 0.083

## b
VASP calculation (PBEsol) on a relaxed Er2P4O13 crystal.

- D(E_F): 0.00 states/eV/cell
- Magnetization: 0.000 μB per atom

abc: 6.689 6.763 12.779
angles: 104.71 90.00 119.64
Atoms (fractional coordinates):
Er: 0.311 0.617 0.452
Er: 0.305 0.617 0.952
Er: 0.695 0.383 0.048
Er: 0.689 0.383 0.548
P: 0.170 0.024 0.367
P: 0.249 0.477 0.162
P: 0.146 0.976 0.133
P: 0.772 0.523 0.338
P: 0.228 0.477 0.662
P: 0.854 0.024 0.867
P: 0.751 0.523 0.838
P: 0.830 0.976 0.633
O: 0.337 0.014 0.444
O: 0.128 0.226 0.399
O: 0.118 0.201 0.155
O: 0.098 0.226 0.899
O: 0.078 0.505 0.096
O: 0.083 0.201 0.655
O: 0.313 0.614 0.282
O: 0.573 0.495 0.404
O: 0.677 0.014 0.944
O: 0.451 0.529 0.096
O: 0.699 0.386 0.218
O: 0.079 0.529 0.596
O: 0.257 0.000 0.250
O: 0.921 0.471 0.404
O: 0.301 0.614 0.782
O: 0.549 0.471 0.904
O: 0.323 0.986 0.056
O: 0.427 0.505 0.596
O: 0.687 0.386 0.718
O: 0.917 0.799 0.345
O: 0.922 0.495 0.904
O: 0.902 0.774 0.101
O: 0.882 0.799 0.845
O: 0.743 0.000 0.750
O: 0.872 0.774 0.601
O: 0.663 0.986 0.556

Calculated relative energies: a 0; b 11, given in meV per atom

## a
VASP calculation (PBEsol) on a relaxed Pm3Er crystal.

- D(E_F): 12.80 states/eV/cell
- Magnetization: 0.000 μB per atom

abc: 5.701 7.140 7.140
angles: 120.00 90.00 90.00
Atoms (fractional coordinates):
Pm: 0.250 0.666 0.833
Pm: 0.250 0.167 0.334
Pm: 0.250 0.167 0.833
Pm: 0.750 0.334 0.167
Pm: 0.750 0.833 0.666
Pm: 0.750 0.833 0.167
Er: 0.750 0.333 0.667
Er: 0.250 0.667 0.333

## b
VASP calculation (PBEsol) on a relaxed Pm3Er crystal.

- D(E_F): 5.34 states/eV/cell
- Magnetization: 0.000 μB per atom

abc: 4.994 4.994 4.994
angles: 90.00 90.00 90.00
Atoms (fractional coordinates):
Er: 0.000 0.000 0.000
Pm: 0.000 0.500 0.500
Pm: 0.500 0.000 0.500
Pm: 0.500 0.500 0.000

Calculated relative energies: a 17; b 0, given in meV per atom

## a
VASP calculation (PBEsol) on a relaxed SmEr3 crystal.

- D(E_F): 13.19 states/eV/cell
- Magnetization: 0.000 μB per atom

abc: 5.530 7.054 7.054
angles: 120.00 90.00 90.00
Atoms (fractional coordinates):
Sm: 0.750 0.333 0.667
Sm: 0.250 0.667 0.333
Er: 0.250 0.668 0.834
Er: 0.250 0.166 0.332
Er: 0.250 0.166 0.834
Er: 0.750 0.332 0.166
Er: 0.750 0.834 0.668
Er: 0.750 0.834 0.166

## b
VASP calculation (PBEsol) on a relaxed SmEr3 crystal.

- D(E_F): 5.09 states/eV/cell
- Magnetization: 0.000 μB per atom

abc: 4.897 4.897 5.989
angles: 114.13 114.13 90.00
Atoms (fractional coordinates):
Sm: 0.000 0.000 0.000
Er: 0.250 0.750 0.500
Er: 0.750 0.250 0.500
Er: 0.500 0.500 0.000

Calculated relative energies: a 0; b 5, given in meV per atom

## a
VASP calculation (PBEsol) on a relaxed Er5Tl3 crystal.

- D(E_F): 12.06 states/eV/cell
- Magnetization: 0.000 μB per atom

abc: 7.899 8.872 7.899
angles: 63.57 90.00 116.43
Atoms (fractional coordinates):
Er: 0.500 0.000 0.500
Er: 0.000 0.000 0.000
Er: 0.506 0.695 0.312
Er: 0.188 0.695 0.994
Er: 0.688 0.695 0.812
Er: 0.006 0.695 0.494
Er: 0.994 0.305 0.506
Er: 0.312 0.305 0.188
Er: 0.812 0.305 0.006
Er: 0.494 0.305 0.688
Tl: 0.250 0.500 0.750
Tl: 0.750 0.500 0.250
Tl: 0.863 0.000 0.363
Tl: 0.137 0.000 0.637
Tl: 0.637 0.000 0.863
Tl: 0.363 0.000 0.137

## b
VASP calculation (PBEsol) on a relaxed Er5Tl3 crystal.

- D(E_F): 21.28 states/eV/cell
- Magnetization: 0.000 μB per atom

abc: 6.419 8.812 8.812
angles: 120.00 90.00 90.00
Atoms (fractional coordinates):
Er: 0.000 0.667 0.333
Er: 0.500 0.333 0.667
Er: 0.000 0.333 0.667
Er: 0.500 0.667 0.333
Er: 0.750 0.766 0.766
Er: 0.750 0.000 0.234
Er: 0.750 0.234 0.000
Er: 0.250 0.234 0.234
Er: 0.250 0.000 0.766
Er: 0.250 0.766 0.000
Tl: 0.750 0.402 0.402
Tl: 0.750 0.000 0.598
Tl: 0.750 0.598 0.000
Tl: 0.250 0.598 0.598
Tl: 0.250 0.000 0.402
Tl: 0.250 0.402 0.000

Calculated relative energies: a 17; b 0, given in meV per atom

## a
VASP calculation (PBEsol) on a relaxed F crystal.

- D(E_F): 0.00 states/eV/cell
- Magnetization: 0.018 μB per atom

abc: 3.126 3.126 6.542
angles: 90.00 90.00 117.29
Atoms (fractional coordinates):
F: 0.087 0.087 0.901
F: 0.413 0.413 0.401
F: 0.587 0.587 0.599
F: 0.913 0.913 0.099

## b
VASP calculation (PBEsol) on a relaxed F crystal.

- D(E_F): 3.42 states/eV/cell
- Magnetization: 0.000 μB per atom

abc: 3.213 3.213 5.893
angles: 77.48 77.48 60.78
Atoms (fractional coordinates):
F: 0.714 0.768 0.287
F: 0.232 0.286 0.213
F: 0.286 0.232 0.713
F: 0.768 0.714 0.787

## c
VASP calculation (PBEsol) on a relaxed F crystal.

- D(E_F): 0.08 states/eV/cell
- Magnetization: 1.000 μB per atom

abc: 3.339 3.339 3.344
angles: 60.04 60.04 60.00
Last column: magnetic moment on the atom in μB.
Atoms (fractional coordinates):
F: 0.197 0.197 0.408  0.93
F: 0.803 0.803 0.592  0.93

Calculated relative energies: a 0; b 198; c 473, given in meV per atom